Here is crystalline Al2BSe at its relaxed geometry from Alexandria. Energies are from PBE.

Summary:
Space-group type = Fm-3m
Magnetic moment = 0.000 μB per atom
Fermi-level density of states = 0.449 states/eV/atom
Formation energy (no corrections) = 0.717 eV/atom
Excess energy over the best structure of this formula in the dataset = 0.762 eV/atom

abc: 4.392 4.392 4.392
angles: 60.00 60.00 60.00
Positions (direct):
1 Al 0.250 0.250 0.250
2 Se 0.500 0.500 0.500
3 B 0.000 0.000 0.000
4 Al 0.750 0.750 0.750